A plane-wave DFT calculation with PBE was carried out for an optimized crystal structure of DyZrO3.

Cell and atoms, written as POSCAR:
```
DyZrO3
1.0
-2.925 4.043 2.807
2.925 -4.043 2.807
2.925 4.043 -2.807
Dy Zr O
2 2 6
direct
0.288 0.038 0.250 Dy
0.712 0.962 0.750 Dy
0.000 0.500 0.500 Zr
0.500 0.500 0.000 Zr
0.110 0.360 0.750 O
0.334 0.000 0.834 O
0.334 0.500 0.334 O
0.666 0.000 0.166 O
0.666 0.500 0.666 O
0.890 0.640 0.250 O
```

Computed properties:
* total energy: -8.65 eV/atom
* spin magnetization: 0.090 μB/atom